No. 1
A relaxed NaTmMg crystal. Source: Alexandria via LeMat-Bulk, functional PBE-GGA.

Unit cell a=3.375 b=5.577 c=9.516 alpha=90.00 beta=99.06 gamma=90.00
Sites, in units of the cell vectors:
Na (0.061, 0.250, 0.097)
Na (0.939, 0.750, 0.903)
Tm (0.261, 0.750, 0.551)
Tm (0.739, 0.250, 0.449)
Mg (0.389, 0.250, 0.750)
Mg (0.611, 0.750, 0.250)

Results
- energy above the lowest structure with this stoichiometry (eV per atom) = 0.000
- space group = No. 11
- energy of formation from the pure elements (eV per atom) = 0.11

No. 2
A relaxed AgAsS3 crystal. Source: Alexandria via LeMat-Bulk, functional PBE-GGA.

Unit cell a=4.766 b=4.766 c=4.766 alpha=90.00 beta=90.00 gamma=90.00
Sites, in units of the cell vectors:
Ag (0.000, 0.000, 0.000)
As (0.500, 0.500, 0.500)
S (0.000, 0.000, 0.500)
S (0.000, 0.500, 0.000)
S (0.500, 0.000, 0.000)

Results
- space group = No. 221

No. 3
A relaxed BaCd3Ge crystal. Source: Alexandria via LeMat-Bulk, functional PBE-GGA.

Unit cell a=4.627 b=4.627 c=6.344 alpha=90.00 beta=90.00 gamma=90.00
Sites, in units of the cell vectors:
Ba (0.000, 0.000, 0.000)
Cd (0.000, 0.500, 0.469)
Cd (0.500, 0.000, 0.469)
Cd (0.500, 0.500, 0.760)
Ge (0.500, 0.500, 0.199)

Results
- energy above the lowest structure with this stoichiometry (eV per atom) = 0.000
- space group = No. 99
- energy of formation from the pure elements (eV per atom) = -0.29

No. 4
A relaxed KAs2PbSe crystal. Source: Alexandria via LeMat-Bulk, functional PBE-GGA.

Unit cell a=5.590 b=5.590 c=5.750 alpha=90.00 beta=90.00 gamma=90.00
Sites, in units of the cell vectors:
K (0.000, 0.000, 0.000)
As (0.000, 0.500, 0.500)
As (0.500, 0.000, 0.500)
Pb (0.500, 0.500, 0.500)
Se (0.500, 0.500, 0.000)

Results
- energy above the lowest structure with this stoichiometry (eV per atom) = 0.000
- space group = No. 123

No. 5
A relaxed La2ScSb2 crystal. Source: Alexandria via LeMat-Bulk, functional PBE-GGA.

Unit cell a=8.189 b=8.189 c=4.503 alpha=90.00 beta=90.00 gamma=90.00
Sites, in units of the cell vectors:
La (0.155, 0.345, 0.000)
La (0.345, 0.845, 0.000)
La (0.655, 0.155, 0.000)
La (0.845, 0.655, 0.000)
Sc (0.000, 0.000, 0.500)
Sc (0.500, 0.500, 0.500)
Sb (0.153, 0.653, 0.500)
Sb (0.347, 0.153, 0.500)
Sb (0.653, 0.847, 0.500)
Sb (0.847, 0.347, 0.500)

Results
- space group = No. 127

No. 6
A relaxed TbCeTeO2 crystal. Source: Alexandria via LeMat-Bulk, functional PBE-GGA.

Unit cell a=3.995 b=3.995 c=12.715 alpha=90.00 beta=90.00 gamma=90.00
Sites, in units of the cell vectors:
Tb (0.000, 0.000, 0.000)
Tb (0.500, 0.500, 0.500)
Ce (0.000, 0.000, 0.682)
Ce (0.500, 0.500, 0.182)
Te (0.000, 0.000, 0.341)
Te (0.500, 0.500, 0.841)
O (0.000, 0.500, 0.086)
O (0.000, 0.500, 0.586)
O (0.500, 0.000, 0.086)
O (0.500, 0.000, 0.586)

Results
- space group = No. 107

No. 7
A relaxed TlBi2Au crystal. Source: Alexandria via LeMat-Bulk, functional PBE-GGA.

Unit cell a=3.558 b=3.558 c=8.963 alpha=90.00 beta=90.00 gamma=90.00
Sites, in units of the cell vectors:
Tl (0.000, 0.000, 0.000)
Bi (0.500, 0.500, 0.293)
Bi (0.500, 0.500, 0.707)
Au (0.000, 0.000, 0.500)

Results
- space group = No. 123
- energy of formation from the pure elements (eV per atom) = 0.03

No. 8
A relaxed ZnFe4 crystal. Source: Alexandria via LeMat-Bulk, functional PBE-GGA.

Unit cell a=4.374 b=4.374 c=4.374 alpha=90.00 beta=90.00 gamma=90.00
Sites, in units of the cell vectors:
Zn (0.000, 0.000, 0.000)
Fe (0.000, 0.000, 0.500)
Fe (0.000, 0.500, 0.000)
Fe (0.500, 0.000, 0.000)
Fe (0.500, 0.500, 0.500)

Results
- energy above the lowest structure with this stoichiometry (eV per atom) = 1.377
- space group = No. 221
- energy of formation from the pure elements (eV per atom) = 1.46

No. 9
A relaxed SmEr4Hg crystal. Source: Alexandria via LeMat-Bulk, functional PBE-GGA.

Unit cell a=8.184 b=8.184 c=6.307 alpha=100.00 beta=100.00 gamma=115.92
Sites, in units of the cell vectors:
Sm (0.095, 0.905, 0.750)
Sm (0.905, 0.095, 0.250)
Er (0.100, 0.337, 0.872)
Er (0.213, 0.589, 0.455)
Er (0.337, 0.100, 0.372)
Er (0.411, 0.787, 0.045)
Er (0.589, 0.213, 0.955)
Er (0.663, 0.900, 0.628)
Er (0.787, 0.411, 0.545)
Er (0.900, 0.663, 0.128)
Hg (0.499, 0.501, 0.750)
Hg (0.501, 0.499, 0.250)

Results
- energy above the lowest structure with this stoichiometry (eV per atom) = 0.096
- space group = No. 15
- energy of formation from the pure elements (eV per atom) = -0.05

No. 10
A relaxed Ba2ZnAs3Pd4 crystal. Source: Alexandria via LeMat-Bulk, functional PBE-GGA.

Unit cell a=4.553 b=4.553 c=10.324 alpha=90.00 beta=90.00 gamma=90.00
Sites, in units of the cell vectors:
Ba (0.000, 0.500, 0.249)
Ba (0.500, 0.000, 0.751)
Zn (0.000, 0.000, 0.500)
As (0.000, 0.500, 0.875)
As (0.500, 0.000, 0.125)
As (0.500, 0.500, 0.500)
Pd (0.000, 0.000, 0.000)
Pd (0.000, 0.500, 0.620)
Pd (0.500, 0.000, 0.380)
Pd (0.500, 0.500, 0.000)

Results
- space group = No. 115
- energy of formation from the pure elements (eV per atom) = -0.73

No. 11
A relaxed HfBe3Ag crystal. Source: Alexandria via LeMat-Bulk, functional PBE-GGA.

Unit cell a=4.728 b=4.728 c=4.728 alpha=90.00 beta=90.00 gamma=90.00
Sites, in units of the cell vectors:
Hf (0.000, 0.000, 0.000)
Be (0.000, 0.000, 0.500)
Be (0.000, 0.500, 0.000)
Be (0.500, 0.000, 0.000)
Ag (0.500, 0.500, 0.500)

Results
- energy above the lowest structure with this stoichiometry (eV per atom) = 1.182
- space group = No. 221
- energy of formation from the pure elements (eV per atom) = 1.79

No. 12
A relaxed CaEuHo2 crystal. Source: Alexandria via LeMat-Bulk, functional PBE-GGA.

Unit cell a=3.647 b=3.647 c=10.533 alpha=90.00 beta=90.00 gamma=90.00
Sites, in units of the cell vectors:
Ca (0.000, 0.000, 0.000)
Eu (0.000, 0.000, 0.500)
Ho (0.500, 0.500, 0.256)
Ho (0.500, 0.500, 0.744)

Results
- energy above the lowest structure with this stoichiometry (eV per atom) = 0.000
- space group = No. 123
- energy of formation from the pure elements (eV per atom) = 0.15

No. 13
A relaxed Th3Ge2S crystal. Source: Alexandria via LeMat-Bulk, functional PBE-GGA.

Unit cell a=4.251 b=5.970 c=12.638 alpha=90.00 beta=90.00 gamma=90.00
Sites, in units of the cell vectors:
Th (0.000, 0.000, 0.000)
Th (0.000, 0.000, 0.336)
Th (0.000, 0.000, 0.664)
Th (0.500, 0.500, 0.164)
Th (0.500, 0.500, 0.500)
Th (0.500, 0.500, 0.836)
Ge (0.000, 0.500, 0.332)
Ge (0.000, 0.500, 0.668)
Ge (0.500, 0.000, 0.168)
Ge (0.500, 0.000, 0.832)
S (0.000, 0.500, 0.000)
S (0.500, 0.000, 0.500)

Results
- space group = No. 71

No. 14
A relaxed AlCuPt6 crystal. Source: Alexandria via LeMat-Bulk, functional PBE-GGA.

Unit cell a=7.635 b=5.321 c=7.103 alpha=90.00 beta=110.52 gamma=90.00
Sites, in units of the cell vectors:
Al (0.000, 0.000, 0.000)
Al (0.500, 0.500, 0.000)
Cu (0.000, 0.500, 0.500)
Cu (0.500, 0.000, 0.500)
Pt (0.145, 0.000, 0.437)
Pt (0.202, 0.242, 0.804)
Pt (0.202, 0.758, 0.804)
Pt (0.298, 0.258, 0.196)
Pt (0.298, 0.742, 0.196)
Pt (0.355, 0.500, 0.563)
Pt (0.645, 0.500, 0.437)
Pt (0.702, 0.258, 0.804)
Pt (0.702, 0.742, 0.804)
Pt (0.798, 0.242, 0.196)
Pt (0.798, 0.758, 0.196)
Pt (0.855, 0.000, 0.563)

Results
- energy above the lowest structure with this stoichiometry (eV per atom) = 0.264
- space group = No. 12
- energy of formation from the pure elements (eV per atom) = -0.13

No. 15
A relaxed MnAlCd2Se crystal. Source: Alexandria via LeMat-Bulk, functional PBE-GGA.

Unit cell a=5.208 b=5.208 c=4.384 alpha=90.00 beta=90.00 gamma=90.00
Sites, in units of the cell vectors:
Mn (0.000, 0.000, 0.000)
Al (0.500, 0.500, 0.500)
Cd (0.000, 0.500, 0.000)
Cd (0.500, 0.000, 0.000)
Se (0.000, 0.000, 0.500)

Results
- space group = No. 123

No. 16
A relaxed GdMg2Ag crystal. Source: Alexandria via LeMat-Bulk, functional PBE-GGA.

Unit cell a=7.098 b=7.098 c=7.098 alpha=90.00 beta=90.00 gamma=90.00
Sites, in units of the cell vectors:
Gd (0.000, 0.000, 0.000)
Gd (0.000, 0.500, 0.500)
Gd (0.500, 0.000, 0.500)
Gd (0.500, 0.500, 0.000)
Mg (0.250, 0.250, 0.250)
Mg (0.250, 0.250, 0.750)
Mg (0.250, 0.750, 0.250)
Mg (0.250, 0.750, 0.750)
Mg (0.750, 0.250, 0.250)
Mg (0.750, 0.250, 0.750)
Mg (0.750, 0.750, 0.250)
Mg (0.750, 0.750, 0.750)
Ag (0.000, 0.000, 0.500)
Ag (0.000, 0.500, 0.000)
Ag (0.500, 0.000, 0.000)
Ag (0.500, 0.500, 0.500)

Results
- space group = No. 225
- energy of formation from the pure elements (eV per atom) = -0.09

No. 17
A relaxed NaMg2Ga9 crystal. Source: Alexandria via LeMat-Bulk, functional PBE-GGA.

Unit cell a=10.003 b=10.003 c=10.003 alpha=31.45 beta=31.45 gamma=31.45
Sites, in units of the cell vectors:
Na (0.000, 0.000, 0.000)
Mg (0.143, 0.143, 0.143)
Mg (0.857, 0.857, 0.857)
Ga (0.081, 0.589, 0.589)
Ga (0.336, 0.336, 0.336)
Ga (0.411, 0.411, 0.919)
Ga (0.411, 0.919, 0.411)
Ga (0.500, 0.500, 0.500)
Ga (0.589, 0.081, 0.589)
Ga (0.589, 0.589, 0.081)
Ga (0.664, 0.664, 0.664)
Ga (0.919, 0.411, 0.411)

Results
- space group = No. 166
- energy of formation from the pure elements (eV per atom) = -0.04

No. 18
A relaxed Sr2EuPt crystal. Source: Alexandria via LeMat-Bulk, functional PBE-GGA.

Unit cell a=3.810 b=3.810 c=10.048 alpha=90.00 beta=90.00 gamma=90.00
Sites, in units of the cell vectors:
Sr (0.000, 0.000, 0.173)
Sr (0.000, 0.000, 0.827)
Eu (0.500, 0.500, 0.500)
Pt (0.500, 0.500, 0.000)

Results
- energy above the lowest structure with this stoichiometry (eV per atom) = 0.000
- space group = No. 123
- energy of formation from the pure elements (eV per atom) = -0.40

Total magnetization list, top to bottom, in μB per cell: 0.0, 0.0, 0.0, 2.2, 1.5, 2.0, 0.0, 4.9, 0.0, 0.0, 0.0, 7.4, 0.0, 0.0, 0.8, 29.0, 0.0, 7.5
Raw total energy list, top to bottom, in Ry/atom: -0.1725, -0.2210, -0.1582, -0.2343, -0.4310, -0.5596, -0.2438, -0.4090, -0.2884, -0.3465, -0.2210, -0.3825, -0.5211, -0.4147, -0.2368, -0.3762, -0.1975, -0.3911